Entry 1:
An optimized crystal structure of TiMnBr2. Source: Alexandria, functional GGA-PBE. Values from VASP.

Geometry as Quantum ESPRESSO input:
```
&SYSTEM
  ibrav = 0, nat = 4, ntyp = 3
/
ATOMIC_SPECIES
Ti 47.87 Ti.upf
Mn 54.94 Mn.upf
Br 79.90 Br.upf
CELL_PARAMETERS angstrom
1.752 1.011 8.671
-1.752 1.011 8.671
0.000 -2.023 8.671
ATOMIC_POSITIONS crystal
Ti 0.000 0.000 0.000
Mn 0.500 0.500 0.500
Br 0.100 0.100 0.100
Br 0.900 0.900 0.900
```

Properties
raw formation energy: 0.057 eV per atom
theoretical density: 4.73 g cm⁻³

---

Entry 2:
An optimized crystal structure of BaMn2Si. Source: Alexandria, functional GGA-PBE. Values from VASP.

Geometry as Quantum ESPRESSO input:
```
&SYSTEM
  ibrav = 0, nat = 4, ntyp = 3
/
ATOMIC_SPECIES
Ba 137.33 Ba.upf
Mn 54.94 Mn.upf
Si 28.09 Si.upf
CELL_PARAMETERS angstrom
4.649 0.000 0.000
0.000 4.649 0.000
0.000 0.000 4.159
ATOMIC_POSITIONS crystal
Ba 0.000 0.000 0.000
Mn 0.000 0.500 0.500
Mn 0.500 0.000 0.500
Si 0.500 0.500 0.000
```

Properties
raw formation energy: 0.763 eV per atom
theoretical density: 5.08 g cm⁻³

---

Entry 3:
An optimized crystal structure of Ni2Sn2Pd. Source: Alexandria, functional GGA-PBE. Values from VASP.

Geometry as Quantum ESPRESSO input:
```
&SYSTEM
  ibrav = 0, nat = 10, ntyp = 3
/
ATOMIC_SPECIES
Ni 58.69 Ni.upf
Sn 118.71 Sn.upf
Pd 106.42 Pd.upf
CELL_PARAMETERS angstrom
7.068 0.000 0.000
0.000 7.068 0.000
0.000 0.000 3.203
ATOMIC_POSITIONS crystal
Ni 0.127 0.373 0.000
Ni 0.373 0.873 0.000
Ni 0.627 0.127 0.000
Ni 0.873 0.627 0.000
Sn 0.172 0.672 0.500
Sn 0.328 0.172 0.500
Sn 0.672 0.828 0.500
Sn 0.828 0.328 0.500
Pd 0.000 0.000 0.000
Pd 0.500 0.500 0.000
```

Properties
DFT formation energy: -0.224 eV per atom
theoretical density: 9.57 g cm⁻³

---

Entry 4:
An optimized crystal structure of La2Nd3NbN6. Source: Alexandria, functional GGA-PBE. Values from VASP.

Geometry as Quantum ESPRESSO input:
```
&SYSTEM
  ibrav = 0, nat = 12, ntyp = 4
/
ATOMIC_SPECIES
La 138.91 La.upf
Nd 144.24 Nd.upf
Nb 92.91 Nb.upf
N 14.01 N.upf
CELL_PARAMETERS angstrom
3.109 -5.389 0.000
3.109 5.389 0.000
-2.055 0.000 5.782
ATOMIC_POSITIONS crystal
La 0.167 0.833 0.000
La 0.833 0.167 0.000
Nd 0.000 0.000 0.500
Nd 0.338 0.662 0.500
Nd 0.662 0.338 0.500
Nb 0.500 0.500 0.000
N 0.130 0.424 0.774
N 0.278 0.278 0.237
N 0.424 0.130 0.774
N 0.576 0.870 0.226
N 0.722 0.722 0.763
N 0.870 0.576 0.226
```

Properties
raw formation energy: -1.260 eV per atom
theoretical density: 7.61 g cm⁻³

---

Entry 5:
An optimized crystal structure of TaFe2HgSe. Source: Alexandria, functional GGA-PBE. Values from VASP.

Geometry as Quantum ESPRESSO input:
```
&SYSTEM
  ibrav = 0, nat = 5, ntyp = 4
/
ATOMIC_SPECIES
Ta 180.95 Ta.upf
Fe 55.84 Fe.upf
Hg 200.59 Hg.upf
Se 78.96 Se.upf
CELL_PARAMETERS angstrom
4.879 0.000 0.000
0.000 4.879 0.000
0.000 0.000 4.900
ATOMIC_POSITIONS crystal
Ta 0.000 0.000 0.000
Fe 0.000 0.500 0.000
Fe 0.500 0.000 0.000
Hg 0.500 0.500 0.500
Se 0.000 0.000 0.500
```

Properties
raw formation energy: 1.014 eV per atom
theoretical density: 8.15 g cm⁻³

---

Entry 6:
An optimized crystal structure of YAlAu2. Source: Alexandria, functional GGA-PBE. Values from VASP.

Geometry as Quantum ESPRESSO input:
```
&SYSTEM
  ibrav = 0, nat = 4, ntyp = 3
/
ATOMIC_SPECIES
Y 88.91 Y.upf
Al 26.98 Al.upf
Au 196.97 Au.upf
CELL_PARAMETERS angstrom
-1.918 2.393 4.449
1.918 -2.393 4.449
1.918 2.393 -4.449
ATOMIC_POSITIONS crystal
Y 0.000 0.000 0.000
Al 0.263 0.763 0.500
Au 0.459 0.459 0.000
Au 0.729 0.229 0.500
```

Properties
DFT formation energy: -0.552 eV per atom
theoretical density: 10.36 g cm⁻³

---

Entry 7:
An optimized crystal structure of LiMg4Pd. Source: Alexandria, functional GGA-PBE. Values from VASP.

Geometry as Quantum ESPRESSO input:
```
&SYSTEM
  ibrav = 0, nat = 12, ntyp = 3
/
ATOMIC_SPECIES
Li 6.94 Li.upf
Mg 24.30 Mg.upf
Pd 106.42 Pd.upf
CELL_PARAMETERS angstrom
4.264 -6.081 0.000
4.264 6.081 0.000
-3.088 0.000 4.530
ATOMIC_POSITIONS crystal
Li 0.111 0.889 0.750
Li 0.889 0.111 0.250
Mg 0.125 0.536 0.300
Mg 0.262 0.361 0.770
Mg 0.361 0.262 0.270
Mg 0.464 0.875 0.200
Mg 0.536 0.125 0.800
Mg 0.639 0.738 0.730
Mg 0.738 0.639 0.230
Mg 0.875 0.464 0.700
Pd 0.111 0.889 0.250
Pd 0.889 0.111 0.750
```

Properties
DFT formation energy: -0.252 eV per atom
theoretical density: 2.98 g cm⁻³

---

Entry 8:
An optimized crystal structure of RbHgBrCl. Source: Alexandria, functional GGA-PBE. Values from VASP.

Geometry as Quantum ESPRESSO input:
```
&SYSTEM
  ibrav = 0, nat = 4, ntyp = 4
/
ATOMIC_SPECIES
Rb 85.47 Rb.upf
Hg 200.59 Hg.upf
Br 79.90 Br.upf
Cl 35.45 Cl.upf
CELL_PARAMETERS angstrom
0.000 3.949 3.949
3.949 0.000 3.949
3.949 3.949 0.000
ATOMIC_POSITIONS crystal
Rb 0.000 0.000 0.000
Hg 0.500 0.500 0.500
Br 0.250 0.250 0.250
Cl 0.750 0.750 0.750
```

Properties
raw formation energy: -0.873 eV per atom
theoretical density: 5.41 g cm⁻³

---

Entry 9:
An optimized crystal structure of CsMgCdBr5. Source: Alexandria, functional GGA-PBE. Values from VASP.

Geometry as Quantum ESPRESSO input:
```
&SYSTEM
  ibrav = 0, nat = 16, ntyp = 4
/
ATOMIC_SPECIES
Cs 132.91 Cs.upf
Mg 24.30 Mg.upf
Cd 112.41 Cd.upf
Br 79.90 Br.upf
CELL_PARAMETERS angstrom
4.827 -6.442 0.000
4.827 6.442 0.000
-3.725 0.000 9.361
ATOMIC_POSITIONS crystal
Cs 0.156 0.844 0.750
Cs 0.844 0.156 0.250
Mg 0.500 0.500 0.000
Mg 0.500 0.500 0.500
Cd 0.193 0.807 0.250
Cd 0.807 0.193 0.750
Br 0.129 0.275 0.940
Br 0.201 0.587 0.409
Br 0.275 0.129 0.440
Br 0.413 0.799 0.091
Br 0.440 0.560 0.750
Br 0.560 0.440 0.250
Br 0.587 0.201 0.909
Br 0.725 0.871 0.560
Br 0.799 0.413 0.591
Br 0.871 0.725 0.060
```

Properties
raw formation energy: -1.308 eV per atom
theoretical density: 3.82 g cm⁻³

---

Entry 10:
An optimized crystal structure of Ho2GePb. Source: Alexandria, functional GGA-PBE. Values from VASP.

Geometry as Quantum ESPRESSO input:
```
&SYSTEM
  ibrav = 0, nat = 4, ntyp = 3
/
ATOMIC_SPECIES
Ho 164.93 Ho.upf
Ge 72.64 Ge.upf
Pb 207.20 Pb.upf
CELL_PARAMETERS angstrom
4.897 0.000 0.000
0.000 4.897 0.000
0.000 0.000 4.217
ATOMIC_POSITIONS crystal
Ho 0.000 0.500 0.000
Ho 0.500 0.000 0.000
Ge 0.000 0.000 0.500
Pb 0.500 0.500 0.500
```

Properties
DFT formation energy: -0.464 eV per atom
theoretical density: 10.01 g cm⁻³

---

Entry 11:
An optimized crystal structure of Er2LuMg. Source: Alexandria, functional GGA-PBE. Values from VASP.

Geometry as Quantum ESPRESSO input:
```
&SYSTEM
  ibrav = 0, nat = 4, ntyp = 3
/
ATOMIC_SPECIES
Er 167.26 Er.upf
Lu 174.97 Lu.upf
Mg 24.30 Mg.upf
CELL_PARAMETERS angstrom
1.731 1.000 11.124
-1.731 1.000 11.124
0.000 -1.999 11.124
ATOMIC_POSITIONS crystal
Er 0.249 0.249 0.249
Er 0.751 0.751 0.751
Lu 0.000 0.000 0.000
Mg 0.500 0.500 0.500
```

Properties
DFT formation energy: 0.026 eV per atom
theoretical density: 7.67 g cm⁻³

---

Entry 12:
An optimized crystal structure of PrBiPb2. Source: Alexandria, functional GGA-PBE. Values from VASP.

Geometry as Quantum ESPRESSO input:
```
&SYSTEM
  ibrav = 0, nat = 4, ntyp = 3
/
ATOMIC_SPECIES
Pr 140.91 Pr.upf
Bi 208.98 Bi.upf
Pb 207.20 Pb.upf
CELL_PARAMETERS angstrom
4.914 0.000 0.000
0.000 4.914 0.000
0.000 0.000 5.105
ATOMIC_POSITIONS crystal
Pr 0.000 0.000 0.000
Bi 0.500 0.500 0.000
Pb 0.000 0.500 0.500
Pb 0.500 0.000 0.500
```

Properties
DFT formation energy: -0.411 eV per atom
theoretical density: 10.30 g cm⁻³